Below is an optimized crystal structure of Nd2RhN, with properties calculated at the PBE level.

For the magnetization, the calculation gives 0.0 μB/cell. The formation energy without anion corrections comes out at -0.803 eV per atom. For the volume, the calculation gives 244 Å³ per cell. The calculation puts the density of states at the Fermi level at 0.5847 states/eV per atom.

The structure belongs to space group R-3m (No. 166, hexagonal axes); the cell edges are 3.6402, 3.6402 and 21.2484 Å and the angles 90.00°, 90.00° and 120.00°. Symmetry generates all atoms from Nd at (0.0000, 0.0000, 0.2359), Rh at (0.0000, 0.0000, 0.0000) and N at (0.0000, 0.0000, 0.5000).